Model a:
Density functional theory data (PBE) for a relaxed CuAuBr2 crystal.

## Properties
- Total magnetic moment: 0.0000 μB/atom
- ρ: 6.5 g/cm³
- Space-group type: P2/m (10)

Cell and atoms, written as CIF:
```
data_CuAuBr2
_cell_length_a 5.082
_cell_length_b 3.613
_cell_length_c 5.857
_cell_angle_alpha 90.00
_cell_angle_beta 90.36
_cell_angle_gamma 90.00
_symmetry_space_group_name_H-M 'P 1'
_symmetry_Int_Tables_number 1
_symmetry_space_group_name_Hall 'P 1'
loop_
_atom_site_label
_atom_site_fract_x
_atom_site_fract_y
_atom_site_fract_z
Cu1 0.000 0.000 0.000
Au1 0.500 0.000 0.500
Br1 0.220 0.500 0.229
Br2 0.780 0.500 0.771
```

***

Model b:
Density functional theory data (PBE) for a relaxed CuAuBr2 crystal.

## Properties
- Total magnetic moment: 0.0000 μB/atom
- ρ: 6.7 g/cm³
- Space-group type: Imm2 (44)

Cell and atoms, written as CIF:
```
data_CuAuBr2
_cell_length_a 7.943
_cell_length_b 7.943
_cell_length_c 7.943
_cell_angle_alpha 153.44
_cell_angle_beta 152.26
_cell_angle_gamma 38.78
_symmetry_space_group_name_H-M 'P 1'
_symmetry_Int_Tables_number 1
_symmetry_space_group_name_Hall 'P 1'
loop_
_atom_site_label
_atom_site_fract_x
_atom_site_fract_y
_atom_site_fract_z
Cu1 0.000 0.000 0.000
Au1 0.129 0.629 0.500
Br1 0.456 0.456 0.000
Br2 0.696 0.196 0.500
```

***

Model c:
Density functional theory data (PBE) for a relaxed CuAuBr2 crystal.

## Properties
- Total magnetic moment: 0.0000 μB/atom
- ρ: 6.4 g/cm³
- Space-group type: Cm (8)

Cell and atoms, written as CIF:
```
data_CuAuBr2
_cell_length_a 4.174
_cell_length_b 4.174
_cell_length_c 7.420
_cell_angle_alpha 94.36
_cell_angle_beta 94.36
_cell_angle_gamma 58.11
_symmetry_space_group_name_H-M 'P 1'
_symmetry_Int_Tables_number 1
_symmetry_space_group_name_Hall 'P 1'
loop_
_atom_site_label
_atom_site_fract_x
_atom_site_fract_y
_atom_site_fract_z
Cu1 0.000 0.000 0.000
Au1 0.353 0.353 0.171
Br1 0.495 0.495 0.830
Br2 0.740 0.740 0.363
```

***

Model d:
Density functional theory data (PBE) for a relaxed CuAuBr2 crystal.

## Properties
- Total magnetic moment: 0.0000 μB/atom
- ρ: 6.5 g/cm³
- Space-group type: Pmmm (47)

Cell and atoms, written as CIF:
```
data_CuAuBr2
_cell_length_a 3.758
_cell_length_b 3.770
_cell_length_c 7.629
_cell_angle_alpha 90.00
_cell_angle_beta 90.00
_cell_angle_gamma 90.00
_symmetry_space_group_name_H-M 'P 1'
_symmetry_Int_Tables_number 1
_symmetry_space_group_name_Hall 'P 1'
loop_
_atom_site_label
_atom_site_fract_x
_atom_site_fract_y
_atom_site_fract_z
Cu1 0.000 0.000 0.000
Au1 0.000 0.500 0.500
Br1 0.500 0.000 0.500
Br2 0.500 0.500 0.000
```

***

model c comes first in stability; the runner-up is 141 meV per atom higher.

***

Model a:
Density functional theory data (PBE) for a relaxed Cu2Au2Br crystal.

## Properties
- Total magnetic moment: 0.0000 μB/atom
- ρ: 11.2 g/cm³
- Space-group type: P4/mbm (127)

Cell and atoms, written as CIF:
```
data_Cu2Au2Br
_cell_length_a 7.488
_cell_length_b 7.488
_cell_length_c 3.169
_cell_angle_alpha 90.00
_cell_angle_beta 90.00
_cell_angle_gamma 90.00
_symmetry_space_group_name_H-M 'P 1'
_symmetry_Int_Tables_number 1
_symmetry_space_group_name_Hall 'P 1'
loop_
_atom_site_label
_atom_site_fract_x
_atom_site_fract_y
_atom_site_fract_z
Cu1 0.154 0.346 0.000
Cu2 0.346 0.846 0.000
Cu3 0.654 0.154 0.000
Cu4 0.846 0.654 0.000
Au1 0.137 0.637 0.500
Au2 0.363 0.137 0.500
Au3 0.637 0.863 0.500
Au4 0.863 0.363 0.500
Br1 0.000 0.000 0.500
Br2 0.500 0.500 0.500
```

***

Model b:
Density functional theory data (PBE) for a relaxed Cu2Au2Br crystal.

## Properties
- Total magnetic moment: 0.0000 μB/atom
- ρ: 11.3 g/cm³
- Space-group type: P4/mbm (127)

Cell and atoms, written as CIF:
```
data_Cu2Au2Br
_cell_length_a 7.303
_cell_length_b 7.303
_cell_length_c 3.318
_cell_angle_alpha 90.00
_cell_angle_beta 90.00
_cell_angle_gamma 90.00
_symmetry_space_group_name_H-M 'P 1'
_symmetry_Int_Tables_number 1
_symmetry_space_group_name_Hall 'P 1'
loop_
_atom_site_label
_atom_site_fract_x
_atom_site_fract_y
_atom_site_fract_z
Cu1 0.154 0.346 0.000
Cu2 0.346 0.846 0.000
Cu3 0.654 0.154 0.000
Cu4 0.846 0.654 0.000
Au1 0.138 0.638 0.500
Au2 0.362 0.138 0.500
Au3 0.638 0.862 0.500
Au4 0.862 0.362 0.500
Br1 0.000 0.000 0.000
Br2 0.500 0.500 0.000
```

***

model b comes first in stability; the runner-up is 28 meV per atom higher.

***

Model a:
Density functional theory data (PBE) for a relaxed CuAuBr3 crystal.

## Properties
- Total magnetic moment: 0.0160 μB/atom
- ρ: 5.6 g/cm³
- Space-group type: C2/m (12)

Cell and atoms, written as CIF:
```
data_CuAuBr3
_cell_length_a 7.588
_cell_length_b 7.588
_cell_length_c 10.953
_cell_angle_alpha 97.46
_cell_angle_beta 97.46
_cell_angle_gamma 28.50
_symmetry_space_group_name_H-M 'P 1'
_symmetry_Int_Tables_number 1
_symmetry_space_group_name_Hall 'P 1'
loop_
_atom_site_label
_atom_site_fract_x
_atom_site_fract_y
_atom_site_fract_z
Cu1 0.151 0.151 0.431
Cu2 0.849 0.849 0.569
Au1 0.465 0.465 0.130
Au2 0.535 0.535 0.870
Br1 0.147 0.147 0.949
Br2 0.340 0.340 0.418
Br3 0.388 0.388 0.727
Br4 0.612 0.612 0.273
Br5 0.660 0.660 0.582
Br6 0.853 0.853 0.051
```

***

Model b:
Density functional theory data (PBE) for a relaxed CuAuBr3 crystal.

## Properties
- Total magnetic moment: 0.0000 μB/atom
- ρ: 6.6 g/cm³
- Space-group type: Pm-3m (221)

Cell and atoms, written as CIF:
```
data_CuAuBr3
_cell_length_a 5.020
_cell_length_b 5.020
_cell_length_c 5.020
_cell_angle_alpha 90.00
_cell_angle_beta 90.00
_cell_angle_gamma 90.00
_symmetry_space_group_name_H-M 'P 1'
_symmetry_Int_Tables_number 1
_symmetry_space_group_name_Hall 'P 1'
loop_
_atom_site_label
_atom_site_fract_x
_atom_site_fract_y
_atom_site_fract_z
Cu1 0.000 0.000 0.000
Au1 0.500 0.500 0.500
Br1 0.000 0.000 0.500
Br2 0.000 0.500 0.000
Br3 0.500 0.000 0.000
```

***

model a comes first in stability; the runner-up is 375 meV per atom higher.